Entry 1:
A geometry-optimized Ce6Bi2TeAs3 structure. Source: Alexandria, functional PBE.

Computed properties:
**ΔE_f (raw)**: -1.20 eV/atom
**Final energy**: -6.240 eV/atom
**SG**: No. 12

Cell: 9.8635 9.8635 8.8547 Å, 104.27 104.27 25.49°
Sites, in units of the cell vectors:
Ce 0.0059 0.0059 0.2370
Ce 0.3284 0.3284 0.4314
Ce 0.3393 0.3393 0.9023
Ce 0.6607 0.6607 0.0977
Ce 0.6716 0.6716 0.5686
Ce 0.9941 0.9941 0.7630
Bi 0.1666 0.1666 0.8335
Bi 0.8334 0.8334 0.1665
Te 0.5000 0.5000 0.5000
As 0.1666 0.1666 0.3339
As 0.5000 0.5000 0.0000
As 0.8334 0.8334 0.6661

***

Entry 2:
A geometry-optimized Nd2Sm5Dy3 structure. Source: Alexandria, functional PBE.

Computed properties:
**Formation energy**: 0.38 eV/atom
**Final energy**: -4.316 eV/atom
**SG**: No. 72
**Polymorph energy (0 for the lowest one)**: 188.5 meV/atom

Cell: 12.4280 12.4280 12.4280 Å, 135.29 56.12 147.87°
Sites, in units of the cell vectors:
Nd 0.1226 0.1002 0.2229
Nd 0.3774 0.6002 0.9776
Nd 0.6226 0.3998 0.0224
Nd 0.8774 0.8998 0.7771
Sm 0.0013 0.2500 0.7513
Sm 0.1262 0.4073 0.5335
Sm 0.2500 0.7500 0.5000
Sm 0.3738 0.9073 0.2810
Sm 0.4987 0.2500 0.2487
Sm 0.5013 0.7500 0.7513
Sm 0.6262 0.0927 0.7190
Sm 0.7500 0.2500 0.5000
Sm 0.8738 0.5927 0.4665
Sm 0.9987 0.7500 0.2487
Dy 0.1215 0.7515 0.8730
Dy 0.2500 0.2500 0.0000
Dy 0.3785 0.2515 0.6300
Dy 0.6215 0.7485 0.3700
Dy 0.7500 0.7500 0.0000
Dy 0.8785 0.2485 0.1270

***

Entry 3:
A geometry-optimized BaAgAu2F structure. Source: Alexandria, functional PBE.

Computed properties:
**ΔE_f (raw)**: -0.47 eV/atom
**Final energy**: -3.112 eV/atom
**SG**: No. 123

Cell: 5.3297 5.3297 4.7636 Å, 90.00 90.00 90.00°
Sites, in units of the cell vectors:
Ba 0.0000 0.0000 0.0000
Ag 0.5000 0.5000 0.0000
Au 0.0000 0.5000 0.5000
Au 0.5000 0.0000 0.5000
F 0.0000 0.0000 0.5000

***

Entry 4:
A geometry-optimized La8CuPt2 structure. Source: Alexandria, functional PBE.

Computed properties:
**Formation energy**: -0.37 eV/atom
**Final energy**: -5.424 eV/atom
**SG**: No. 8

Cell: 7.6033 7.6033 6.7437 Å, 101.02 101.02 106.48°
Sites, in units of the cell vectors:
La 0.0000 0.0000 0.0000
La 0.1694 0.5350 0.1722
La 0.2863 0.9935 0.5438
La 0.4418 0.7115 0.8501
La 0.5350 0.1694 0.1722
La 0.7115 0.4418 0.8501
La 0.7260 0.7260 0.4132
La 0.9935 0.2863 0.5438
Cu 0.3862 0.3862 0.4665
Pt 0.0468 0.6810 0.7171
Pt 0.6810 0.0468 0.7171

***

Entry 5:
A geometry-optimized LiFe2N structure. Source: Alexandria, functional PBE.

Computed properties:
**ΔE_f (raw)**: 0.21 eV/atom
**Final energy**: -6.585 eV/atom
**SG**: No. 166

Cell: 7.2218 7.2218 7.2218 Å, 22.26 22.26 22.26°
Sites, in units of the cell vectors:
Li 0.0000 0.0000 0.0000
Fe 0.1184 0.1184 0.1184
Fe 0.8816 0.8816 0.8816
N 0.5000 0.5000 0.5000

***

Entry 6:
A geometry-optimized K3Pd3PtO8 structure. Source: Alexandria, functional PBE.

Computed properties:
**ΔE_f (raw)**: -0.79 eV/atom
**Final energy**: -5.099 eV/atom
**SG**: No. 12

Cell: 7.0459 7.0459 6.7888 Å, 116.11 116.11 52.19°
Sites, in units of the cell vectors:
K 0.0000 0.0000 0.0000
K 0.0000 0.5000 0.0000
K 0.5000 0.0000 0.0000
Pd 0.0000 0.5000 0.5000
Pd 0.5000 0.0000 0.5000
Pd 0.5000 0.5000 0.5000
Pt 0.0000 0.0000 0.5000
O 0.1839 0.1839 0.6113
O 0.2297 0.7302 0.2928
O 0.2698 0.7703 0.7072
O 0.3106 0.3106 0.3826
O 0.6894 0.6894 0.6174
O 0.7302 0.2297 0.2928
O 0.7703 0.2698 0.7072
O 0.8161 0.8161 0.3887

***

Entry 7:
A geometry-optimized LiSb2As structure. Source: Alexandria, functional PBE.

Computed properties:
**ΔE_f (raw)**: -0.09 eV/atom
**Final energy**: -3.796 eV/atom
**SG**: No. 47

Cell: 3.0479 3.9306 7.8874 Å, 90.00 90.00 90.00°
Sites, in units of the cell vectors:
Li 0.0000 0.0000 0.0000
Sb 0.5000 0.5000 0.2319
Sb 0.5000 0.5000 0.7681
As 0.5000 0.0000 0.5000

***

Entry 8:
A geometry-optimized LaZrUO6 structure. Source: Alexandria, functional PBE.

Computed properties:
**ΔE_f (raw)**: -3.35 eV/atom
**Final energy**: -9.404 eV/atom
**SG**: No. 163

Cell: 5.7169 5.7169 10.0536 Å, 90.00 90.00 120.00°
Sites, in units of the cell vectors:
La 0.0000 0.0000 0.0000
La 0.0000 0.0000 0.5000
Zr 0.3333 0.6667 0.2500
Zr 0.6667 0.3333 0.7500
U 0.3333 0.6667 0.7500
U 0.6667 0.3333 0.2500
O 0.0033 0.3595 0.1398
O 0.0033 0.6437 0.3602
O 0.3563 0.3595 0.3602
O 0.3563 0.9967 0.1398
O 0.3595 0.0033 0.6398
O 0.3595 0.3563 0.8602
O 0.6405 0.6437 0.1398
O 0.6405 0.9967 0.3602
O 0.6437 0.0033 0.8602
O 0.6437 0.6405 0.6398
O 0.9967 0.3563 0.6398
O 0.9967 0.6405 0.8602

***

Entry 9:
A geometry-optimized TcSe3F structure. Source: Alexandria, functional PBE.

Computed properties:
**ΔE_f (raw)**: 0.93 eV/atom
**Final energy**: -3.604 eV/atom
**SG**: No. 221
**Polymorph energy (0 for the lowest one)**: 800.7 meV/atom

Cell: 4.5032 4.5032 4.5032 Å, 90.00 90.00 90.00°
Sites, in units of the cell vectors:
Tc 0.0000 0.0000 0.0000
Se 0.0000 0.5000 0.5000
Se 0.5000 0.0000 0.5000
Se 0.5000 0.5000 0.0000
F 0.5000 0.5000 0.5000

***

Entry 10:
A geometry-optimized La4PrNdSm2 structure. Source: Alexandria, functional PBE.

Computed properties:
**Formation energy**: 0.01 eV/atom
**Final energy**: -4.825 eV/atom
**SG**: No. 10

Cell: 6.4189 3.7088 12.2203 Å, 90.00 100.19 90.00°
Sites, in units of the cell vectors:
La 0.2503 0.0000 0.2480
La 0.2504 0.5000 0.7524
La 0.7497 0.0000 0.7520
La 0.7496 0.5000 0.2476
Pr 0.0000 0.0000 0.5000
Nd 0.5000 0.5000 0.5000
Sm 0.0000 0.5000 0.0000
Sm 0.5000 0.0000 0.0000

***

Entry 11:
A geometry-optimized Pr5Bi3Br structure. Source: Alexandria, functional PBE.

Computed properties:
**ΔE_f (raw)**: -1.01 eV/atom
**Final energy**: -5.144 eV/atom
**SG**: No. 193

Cell: 9.6937 9.6937 6.8246 Å, 90.00 90.00 120.00°
Sites, in units of the cell vectors:
Pr 0.0000 0.2730 0.2500
Pr 0.0000 0.7270 0.7500
Pr 0.2730 0.0000 0.2500
Pr 0.2730 0.2730 0.7500
Pr 0.3333 0.6667 0.0000
Pr 0.3333 0.6667 0.5000
Pr 0.6667 0.3333 0.0000
Pr 0.6667 0.3333 0.5000
Pr 0.7270 0.0000 0.7500
Pr 0.7270 0.7270 0.2500
Bi 0.0000 0.3849 0.7500
Bi 0.0000 0.6151 0.2500
Bi 0.3849 0.0000 0.7500
Bi 0.3849 0.3849 0.2500
Bi 0.6151 0.0000 0.2500
Bi 0.6151 0.6151 0.7500
Br 0.0000 0.0000 0.0000
Br 0.0000 0.0000 0.5000

***

Entry 12:
A geometry-optimized LiSi2As structure. Source: Alexandria, functional PBE.

Computed properties:
**ΔE_f (raw)**: 0.10 eV/atom
**Final energy**: -4.254 eV/atom
**SG**: No. 123

Cell: 3.7268 3.7268 4.5235 Å, 90.00 90.00 90.00°
Sites, in units of the cell vectors:
Li 0.0000 0.0000 0.0000
Si 0.0000 0.5000 0.5000
Si 0.5000 0.0000 0.5000
As 0.5000 0.5000 0.0000